Computed, not measured: an optimized crystal structure of Mn2FeO4 at the GGA+U level of DFT.

Cell lengths 6.102, 6.102, 6.212 Å; angles 59.40, 59.40, 62.13 degrees
Last column: magnetic moment on the atom in μB.
Positions (direct):
O1 0.863 0.863 0.867  0.14
O2 0.387 0.830 0.392  0.12
O3 0.863 0.420 0.858  0.12
O4 0.387 0.387 0.383  0.14
O5 0.420 0.863 0.858  0.12
O6 0.830 0.387 0.392  0.12
O7 0.387 0.387 0.842  0.14
O8 0.863 0.863 0.408  0.14
Mn1 0.004 0.004 0.996  4.61
Mn2 0.246 0.246 0.254  4.61
Mn3 0.625 0.125 0.625  4.01
Mn4 0.125 0.625 0.625  4.01
Fe1 0.625 0.625 0.125  4.38
Fe2 0.625 0.625 0.625  4.38

Symmetry: No. 74
Fermi-level density of states in states/eV per cell: 1.2
Calculated volume in Å³/cell: 164.5
Offset from the most stable computed form in eV per formula unit: 0.000